# CsLi3Ni PBE relaxed
# - Total magnetic moment: 0.00 μB/atom
# - SG: No. 221
# - Electronic total energy: -1.15 eV per atom
data_CsLi3Ni
_cell_length_a 5.1277
_cell_length_b 5.1277
_cell_length_c 5.1277
_cell_angle_alpha 90.00
_cell_angle_beta 90.00
_cell_angle_gamma 90.00
_symmetry_space_group_name_H-M 'P 1'
_symmetry_Int_Tables_number 1
_symmetry_space_group_name_Hall 'P 1'
loop_
_atom_site_label
_atom_site_type_symbol
_atom_site_fract_x
_atom_site_fract_y
_atom_site_fract_z
Li1 Li 0.5000 0.0000 0.0000
Li2 Li 0.0000 0.0000 0.5000
Li3 Li 0.0000 0.5000 0.0000
Ni1 Ni 0.5000 0.5000 0.5000
Cs1 Cs 0.0000 0.0000 0.0000

# Rb2TcAuBr6 PBE relaxed
# - Total magnetic moment: 0.35 μB/atom
# - Formation energy from raw total energies: -781 meV/atom
# - SG: No. 139
# - Electronic total energy: -3.34 eV per atom
data_Rb2TcAuBr6
_cell_length_a 7.7139
_cell_length_b 7.7139
_cell_length_c 7.7253
_cell_angle_alpha 60.05
_cell_angle_beta 60.05
_cell_angle_gamma 90.00
_symmetry_space_group_name_H-M 'P 1'
_symmetry_Int_Tables_number 1
_symmetry_space_group_name_Hall 'P 1'
loop_
_atom_site_label
_atom_site_type_symbol
_atom_site_fract_x
_atom_site_fract_y
_atom_site_fract_z
Br1 Br 0.2614 0.7386 0.0000
Br2 Br 0.7386 0.2614 0.0000
Br3 Br 0.7377 0.7377 0.5246
Br4 Br 0.7386 0.7386 0.0000
Br5 Br 0.2614 0.2614 0.0000
Br6 Br 0.2623 0.2623 0.4754
Tc1 Tc 0.5000 0.5000 0.0000
Au1 Au 0.0000 0.0000 0.0000
Rb1 Rb 0.7500 0.2500 0.5000
Rb2 Rb 0.2500 0.7500 0.5000

# B2O3 PBE relaxed
# - Total magnetic moment: 0.00 μB/atom
# - Formation energy from raw total energies: -2286 meV/atom
# - SG: No. 12
# - Electronic total energy: -7.93 eV per atom
data_B2O3
_cell_length_a 2.4130
_cell_length_b 5.8542
_cell_length_c 8.4477
_cell_angle_alpha 95.90
_cell_angle_beta 90.00
_cell_angle_gamma 101.89
_symmetry_space_group_name_H-M 'P 1'
_symmetry_Int_Tables_number 1
_symmetry_space_group_name_Hall 'P 1'
loop_
_atom_site_label
_atom_site_type_symbol
_atom_site_fract_x
_atom_site_fract_y
_atom_site_fract_z
O1 O 0.2576 0.5153 0.2146
O2 O 0.6424 0.2848 0.3860
O3 O 0.9280 0.8560 0.1586
O4 O 0.0720 0.1440 0.8414
O5 O 0.3576 0.7152 0.6140
O6 O 0.7424 0.4847 0.7854
B1 B 0.8188 0.6376 0.6727
B2 B 0.6291 0.2583 0.8212
B3 B 0.1812 0.3624 0.3273
B4 B 0.3709 0.7417 0.1788

# Tb2PmHoTm5 PBE relaxed
# - Total magnetic moment: 0.00 μB/atom
# - SG: No. 140
# - Electronic total energy: -4.26 eV per atom
data_Tb2PmHoTm5
_cell_length_a 8.7935
_cell_length_b 8.7935
_cell_length_c 9.6334
_cell_angle_alpha 117.16
_cell_angle_beta 117.16
_cell_angle_gamma 90.00
_symmetry_space_group_name_H-M 'P 1'
_symmetry_Int_Tables_number 1
_symmetry_space_group_name_Hall 'P 1'
loop_
_atom_site_label
_atom_site_type_symbol
_atom_site_fract_x
_atom_site_fract_y
_atom_site_fract_z
Tb1 Tb 0.8862 0.6138 0.0000
Tb2 Tb 0.6138 0.1138 0.0000
Tb3 Tb 0.1138 0.3862 0.0000
Tb4 Tb 0.3862 0.8862 0.0000
Tm1 Tm 0.9271 0.4271 0.2673
Tm2 Tm 0.3402 0.8402 0.2673
Tm3 Tm 0.1598 0.0729 0.7327
Tm4 Tm 0.8402 0.9271 0.2673
Tm5 Tm 0.5000 0.5000 0.0000
Tm6 Tm 0.0000 0.0000 0.0000
Tm7 Tm 0.6598 0.1598 0.7327
Tm8 Tm 0.4271 0.3402 0.2673
Tm9 Tm 0.5729 0.6598 0.7327
Tm10 Tm 0.0729 0.5729 0.7327
Pm1 Pm 0.7500 0.7500 0.5000
Pm2 Pm 0.2500 0.2500 0.5000
Ho1 Ho 0.7500 0.2500 0.5000
Ho2 Ho 0.2500 0.7500 0.5000

# ReNiCl2 PBE relaxed
# - Total magnetic moment: 0.97 μB/atom
# - Formation energy from raw total energies: 1093 meV/atom
# - SG: No. 119
# - Electronic total energy: -4.39 eV per atom
data_ReNiCl2
_cell_length_a 6.0622
_cell_length_b 6.0622
_cell_length_c 6.0622
_cell_angle_alpha 146.49
_cell_angle_beta 146.49
_cell_angle_gamma 48.12
_symmetry_space_group_name_H-M 'P 1'
_symmetry_Int_Tables_number 1
_symmetry_space_group_name_Hall 'P 1'
loop_
_atom_site_label
_atom_site_type_symbol
_atom_site_fract_x
_atom_site_fract_y
_atom_site_fract_z
Re1 Re 0.7500 0.2500 0.5000
Cl1 Cl 0.2500 0.7500 0.5000
Cl2 Cl 0.0000 0.0000 0.0000
Ni1 Ni 0.5000 0.5000 0.0000

# HgN PBE relaxed
# - Total magnetic moment: 0.00 μB/atom
# - Formation energy from raw total energies: 1591 meV/atom
# - SG: No. 186
# - Electronic total energy: -2.72 eV per atom
data_HgN
_cell_length_a 3.6191
_cell_length_b 3.6191
_cell_length_c 6.1988
_cell_angle_alpha 90.00
_cell_angle_beta 90.00
_cell_angle_gamma 120.00
_symmetry_space_group_name_H-M 'P 1'
_symmetry_Int_Tables_number 1
_symmetry_space_group_name_Hall 'P 1'
loop_
_atom_site_label
_atom_site_type_symbol
_atom_site_fract_x
_atom_site_fract_y
_atom_site_fract_z
Hg1 Hg 0.6667 0.3333 0.2180
Hg2 Hg 0.3333 0.6667 0.7180
N1 N 0.6667 0.3333 0.8640
N2 N 0.3333 0.6667 0.3640

> Number 1 is which compound?

CsLi3Ni